[1]
DFT (PBE) results for an optimized crystal structure of FeBiPS2.

The space group is P4/mmm (No. 123) and the conventional cell measures 4.712, 4.712 and 4.289 Å, with angles of 90.00, 90.00 and 90.00 degrees. The asymmetric unit holds Fe at (0.000, 0.000, 0.000), Bi at (0.500, 0.500, 0.500), P at (0.000, 0.000, 0.500) and S at (0.000, 0.500, 0.000).

The value obtained for the uncorrected formation energy is 23.9 kJ per mole of atoms. As for the volume: 19.05 Å³/atom. Its total magnetization is 1.9 μB per formula unit.

***

[2]
DFT (PBE) results for an optimized crystal structure of Fe2BiPS.

The space group is P4/mmm (No. 123) and the conventional cell measures 4.875, 4.875 and 5.212 Å, with angles of 90.00, 90.00 and 90.00 degrees. The asymmetric unit holds Fe at (0.000, 0.500, 0.000), Bi at (0.000, 0.000, 0.000), P at (0.000, 0.000, 0.500) and S at (0.500, 0.500, 0.500).

The value obtained for the uncorrected formation energy is 200.8 kJ per mole of atoms. As for the volume: 24.77 Å³/atom. Its total magnetization is 0.5 μB per formula unit.

***

[3]
DFT (PBE) results for an optimized crystal structure of FeBiP2S.

The space group is P4/mmm (No. 123) and the conventional cell measures 4.272, 4.272 and 5.151 Å, with angles of 90.00, 90.00 and 90.00 degrees. The asymmetric unit holds Fe at (0.000, 0.000, 0.000), Bi at (0.500, 0.500, 0.500), P at (0.000, 0.500, 0.000) and S at (0.000, 0.000, 0.500).

The value obtained for the uncorrected formation energy is 29.3 kJ per mole of atoms. As for the volume: 18.80 Å³/atom. Its total magnetization is 0.0 μB per formula unit.

***

[4]
DFT (PBE) results for an optimized crystal structure of FeBiPS2.

The space group is P4/mmm (No. 123) and the conventional cell measures 5.152, 5.152 and 5.261 Å, with angles of 90.00, 90.00 and 90.00 degrees. The asymmetric unit holds Fe at (0.000, 0.000, 0.000), Bi at (0.500, 0.500, 0.500), P at (0.500, 0.500, 0.000) and S at (0.000, 0.500, 0.500).

The value obtained for the uncorrected formation energy is 122.6 kJ per mole of atoms. As for the volume: 27.93 Å³/atom. Its total magnetization is 4.4 μB per formula unit.

***

[5]
DFT (PBE) results for an optimized crystal structure of FeBiP2S.

The space group is P4/mmm (No. 123) and the conventional cell measures 5.215, 5.215 and 5.145 Å, with angles of 90.00, 90.00 and 90.00 degrees. The asymmetric unit holds Fe at (0.000, 0.000, 0.000), Bi at (0.500, 0.500, 0.500), P at (0.000, 0.500, 0.500) and S at (0.500, 0.500, 0.000).

The value obtained for the uncorrected formation energy is 151.2 kJ per mole of atoms. As for the volume: 27.98 Å³/atom. Its total magnetization is 3.8 μB per formula unit.

***

[6]
DFT (PBE) results for an optimized crystal structure of Fe2TcBiP.

The space group is P4/mmm (No. 123) and the conventional cell measures 4.184, 4.184 and 5.401 Å, with angles of 90.00, 90.00 and 90.00 degrees. The asymmetric unit holds Fe at (0.000, 0.500, 0.000), Tc at (0.000, 0.000, 0.500), Bi at (0.500, 0.500, 0.500) and P at (0.500, 0.500, 0.000).

As for the volume: 18.91 Å³/atom. Its formation energy is 447.5 kJ/mol of formula units. Its total magnetization is 6.8 μB per formula unit.

***

[7]
DFT (PBE) results for an optimized crystal structure of TlFe2BiP.

The space group is P4/mmm (No. 123) and the conventional cell measures 4.905, 4.905 and 5.349 Å, with angles of 90.00, 90.00 and 90.00 degrees. The asymmetric unit holds Tl at (0.000, 0.000, 0.000), Fe at (0.000, 0.500, 0.500), Bi at (0.500, 0.500, 0.500) and P at (0.500, 0.500, 0.000).

As for the volume: 25.73 Å³/atom. Its formation energy is 801.6 kJ/mol of formula units. Its total magnetization is 0.2 μB per formula unit.

***

[8]
DFT (PBE) results for an optimized crystal structure of PaFeBi2.

The space group is R-3m (No. 166, hexagonal axes) and the conventional cell measures 3.3336, 3.3336 and 32.6504 Å, with angles of 90.00, 90.00 and 120.00 degrees. The asymmetric unit holds Pa at (0.0000, 0.0000, 0.0000), Fe at (0.0000, 0.0000, 0.5000) and Bi at (0.0000, 0.0000, 0.4179).

As for the volume: 26.19 Å³/atom. Its formation energy is 198.1 kJ/mol of formula units. Its total magnetization is 2.8 μB per formula unit.

***

[9]
DFT (PBE) results for an optimized crystal structure of Pa3FeBi.

The space group is Pm-3m (No. 221) and the conventional cell measures 5.047, 5.047 and 5.047 Å, with angles of 90.00, 90.00 and 90.00 degrees. The asymmetric unit holds Pa at (0.000, 0.000, 0.500), Fe at (0.000, 0.000, 0.000) and Bi at (0.500, 0.500, 0.500).

As for the volume: 25.71 Å³/atom. Its formation energy is -6.1 kJ/mol of formula units. Its total magnetization is 0.1 μB per formula unit.

***

[10]
DFT (PBE) results for an optimized crystal structure of Pa5Fe2Bi2.

The space group is Cmce (No. 64) and the conventional cell measures 15.990, 8.021 and 6.904 Å, with angles of 90.00, 90.00 and 90.00 degrees. The asymmetric unit holds Pa at (0.000, 0.000, 0.000), Pa at (0.110, 0.175, 0.352), Fe at (0.000, 0.101, 0.672) and Bi at (0.215, 0.000, 0.000).

As for the volume: 24.59 Å³/atom. Its formation energy is -119.3 kJ/mol of formula units. Its total magnetization is 0.0 μB per formula unit.

***

[11]
DFT (PBE) results for an optimized crystal structure of Pa4Fe3Bi8.

The space group is P-4m2 (No. 115) and the conventional cell measures 4.548, 4.548 and 18.277 Å, with angles of 90.00, 90.00 and 90.00 degrees. The asymmetric unit holds Pa at (0.000, 0.500, 0.103), Pa at (0.000, 0.500, 0.604), Fe at (0.000, 0.000, 0.000), Fe at (0.000, 0.000, 0.500), Fe at (0.500, 0.500, 0.500), Bi at (0.000, 0.000, 0.247), Bi at (0.000, 0.500, 0.416), Bi at (0.000, 0.500, 0.923) and Bi at (0.500, 0.500, 0.247).

As for the volume: 25.20 Å³/atom. Its formation energy is -201.6 kJ/mol of formula units. Its total magnetization is 2.1 μB per formula unit.

***

[12]
DFT (PBE) results for an optimized crystal structure of FeBi2Pb.

The space group is I-42d (No. 122) and the conventional cell measures 6.507, 6.507 and 12.782 Å, with angles of 90.00, 90.00 and 90.00 degrees. The asymmetric unit holds Fe at (0.000, 0.000, 0.000), Bi at (0.166, 0.250, 0.125) and Pb at (0.000, 0.000, 0.500).

As for the volume: 33.82 Å³/atom. Its formation energy is 220.1 kJ/mol of formula units. Its total magnetization is 0.0 μB per formula unit.

***

[13]
DFT (PBE) results for an optimized crystal structure of Fe3BiPb.

The space group is Pm-3m (No. 221) and the conventional cell measures 4.933, 4.933 and 4.933 Å, with angles of 90.00, 90.00 and 90.00 degrees. The asymmetric unit holds Fe at (0.000, 0.000, 0.500), Bi at (0.000, 0.000, 0.000) and Pb at (0.500, 0.500, 0.500).

As for the volume: 24.01 Å³/atom. Its formation energy is 638.4 kJ/mol of formula units. Its total magnetization is 7.4 μB per formula unit.

***

[14]
DFT (PBE) results for an optimized crystal structure of FeBi2Pb.

The space group is R-3m (No. 166, hexagonal axes) and the conventional cell measures 3.3875, 3.3875 and 34.8550 Å, with angles of 90.00, 90.00 and 120.00 degrees. The asymmetric unit holds Fe at (0.0000, 0.0000, 0.0000), Bi at (0.0000, 0.0000, 0.0783) and Pb at (0.0000, 0.0000, 0.5000).

As for the volume: 28.86 Å³/atom. Its formation energy is 233.0 kJ/mol of formula units. Its total magnetization is 3.3 μB per formula unit.

***

[15]
DFT (PBE) results for an optimized crystal structure of Fe2BiPb.

The space group is Fm-3m (No. 225) and the conventional cell measures 6.567, 6.567 and 6.567 Å, with angles of 90.00, 90.00 and 90.00 degrees. The asymmetric unit holds Fe at (0.250, 0.250, 0.250), Bi at (0.000, 0.000, 0.000) and Pb at (0.000, 0.000, 0.500).

As for the volume: 17.70 Å³/atom. Its formation energy is 329.1 kJ/mol of formula units. Its total magnetization is 0.0 μB per formula unit.

***

[16]
DFT (PBE) results for an optimized crystal structure of Fe2BiPb.

The space group is I-42d (No. 122) and the conventional cell measures 4.566, 4.566 and 18.197 Å, with angles of 90.00, 90.00 and 90.00 degrees. The asymmetric unit holds Fe at (0.139, 0.250, 0.125), Bi at (0.000, 0.000, 0.000) and Pb at (0.000, 0.000, 0.500).

As for the volume: 23.71 Å³/atom. Its formation energy is 307.0 kJ/mol of formula units. Its total magnetization is 5.3 μB per formula unit.

***

[17]
DFT (PBE) results for an optimized crystal structure of FeBi2Pb2.

The space group is P4/mbm (No. 127) and the conventional cell measures 6.916, 6.916 and 5.862 Å, with angles of 90.00, 90.00 and 90.00 degrees. The asymmetric unit holds Fe at (0.000, 0.000, 0.000), Bi at (0.159, 0.341, 0.000) and Pb at (0.176, 0.676, 0.500).

As for the volume: 28.04 Å³/atom. Its formation energy is 191.8 kJ/mol of formula units. Its total magnetization is 0.0 μB per formula unit.

***

[18]
DFT (PBE) results for an optimized crystal structure of FeSiBiPb2.

The space group is P4/mmm (No. 123) and the conventional cell measures 5.065, 5.065 and 5.075 Å, with angles of 90.00, 90.00 and 90.00 degrees. The asymmetric unit holds Fe at (0.000, 0.000, 0.000), Si at (0.500, 0.500, 0.500), Bi at (0.000, 0.000, 0.500) and Pb at (0.000, 0.500, 0.000).

The value obtained for the uncorrected formation energy is 62.5 kJ per mole of atoms. As for the volume: 26.03 Å³/atom. Its total magnetization is 0.0 μB per formula unit.

***

[19]
DFT (PBE) results for an optimized crystal structure of Fe2BiTePb.

The space group is P4/mmm (No. 123) and the conventional cell measures 4.883, 4.883 and 6.201 Å, with angles of 90.00, 90.00 and 90.00 degrees. The asymmetric unit holds Fe at (0.000, 0.500, 0.000), Bi at (0.000, 0.000, 0.000), Te at (0.500, 0.500, 0.500) and Pb at (0.000, 0.000, 0.500).

The value obtained for the uncorrected formation energy is 138.8 kJ per mole of atoms. As for the volume: 29.57 Å³/atom. Its total magnetization is 0.5 μB per formula unit.

***

[20]
DFT (PBE) results for an optimized crystal structure of YFeBiPb2.

The space group is P4/mmm (No. 123) and the conventional cell measures 5.885, 5.885 and 5.805 Å, with angles of 90.00, 90.00 and 90.00 degrees. The asymmetric unit holds Y at (0.000, 0.000, 0.000), Fe at (0.500, 0.500, 0.500), Bi at (0.000, 0.000, 0.500) and Pb at (0.000, 0.500, 0.000).

As for the volume: 40.21 Å³/atom. Its formation energy is 494.7 kJ/mol of formula units. Its total magnetization is 3.9 μB per formula unit.

***

[21]
DFT (PBE) results for an optimized crystal structure of FeBiPd3.

The space group is Pm-3m (No. 221) and the conventional cell measures 5.014, 5.014 and 5.014 Å, with angles of 90.00, 90.00 and 90.00 degrees. The asymmetric unit holds Fe at (0.000, 0.000, 0.000), Bi at (0.500, 0.500, 0.500) and Pd at (0.000, 0.500, 0.500).

As for the volume: 25.21 Å³/atom. Its formation energy is 515.2 kJ/mol of formula units. Its total magnetization is 3.4 μB per formula unit.

***

[22]
DFT (PBE) results for an optimized crystal structure of FeBiPd2.

The space group is P4/mmm (No. 123) and the conventional cell measures 3.247, 3.247 and 6.824 Å, with angles of 90.00, 90.00 and 90.00 degrees. The asymmetric unit holds Fe at (0.000, 0.000, 0.000), Bi at (0.000, 0.000, 0.500) and Pd at (0.500, 0.500, 0.204).

As for the volume: 17.98 Å³/atom. Its formation energy is -14.5 kJ/mol of formula units. Its total magnetization is 3.6 μB per formula unit.

***

[23]
DFT (PBE) results for an optimized crystal structure of Fe4BiPd15.

The space group is P4/mmm (No. 123) and the conventional cell measures 3.965, 3.965 and 19.503 Å, with angles of 90.00, 90.00 and 90.00 degrees. The asymmetric unit holds Fe at (0.000, 0.000, 0.098), Fe at (0.000, 0.000, 0.290), Bi at (0.000, 0.000, 0.500), Pd at (0.000, 0.500, 0.000), Pd at (0.000, 0.500, 0.194), Pd at (0.000, 0.500, 0.388), Pd at (0.500, 0.500, 0.097), Pd at (0.500, 0.500, 0.292) and Pd at (0.500, 0.500, 0.500).

As for the volume: 15.33 Å³/atom. Its formation energy is -221.7 kJ/mol of formula units. Its total magnetization is 0.2 μB per formula unit.

***

[24]
DFT (PBE) results for an optimized crystal structure of FeBi2Pd9.

The space group is P4/mmm (No. 123) and the conventional cell measures 4.063, 4.063 and 12.143 Å, with angles of 90.00, 90.00 and 90.00 degrees. The asymmetric unit holds Fe at (0.000, 0.000, 0.000), Bi at (0.000, 0.000, 0.322), Pd at (0.000, 0.500, 0.151), Pd at (0.000, 0.500, 0.500), Pd at (0.500, 0.500, 0.000) and Pd at (0.500, 0.500, 0.330).

As for the volume: 16.71 Å³/atom. Its formation energy is -221.0 kJ/mol of formula units. Its total magnetization is 4.3 μB per formula unit.

***

[25]
DFT (PBE) results for an optimized crystal structure of FeBiPd3.

The space group is Pm-3m (No. 221) and the conventional cell measures 4.677, 4.677 and 4.677 Å, with angles of 90.00, 90.00 and 90.00 degrees. The asymmetric unit holds Fe at (0.000, 0.000, 0.000), Bi at (0.500, 0.500, 0.500) and Pd at (0.000, 0.000, 0.500).

As for the volume: 20.46 Å³/atom. Its formation energy is 208.3 kJ/mol of formula units. Its total magnetization is 4.1 μB per formula unit.

***

[26]
DFT (PBE) results for an optimized crystal structure of RbFeBi2Pd.

The space group is P4/mmm (No. 123) and the conventional cell measures 5.511, 5.511 and 5.097 Å, with angles of 90.00, 90.00 and 90.00 degrees. The asymmetric unit holds Rb at (0.000, 0.000, 0.000), Fe at (0.500, 0.500, 0.000), Bi at (0.000, 0.500, 0.500) and Pd at (0.500, 0.500, 0.500).

As for the volume: 30.96 Å³/atom. Its formation energy is 199.4 kJ/mol of formula units. Its total magnetization is 3.5 μB per formula unit.